Ce4Pb2C (PBE-GGA, relaxed); formation energy = -0.3566 eV per atom; calculated volume = 200.7 Å³ per cell; energy above the lowest structure with this stoichiometry = 0.11 eV/f.u.
1.0
-2.468 2.468 8.233
2.468 -2.468 8.233
2.468 2.468 -8.233
Ce Pb C
4 2 1
direct
0.000 0.500 0.500
0.158 0.158 0.000
0.500 0.000 0.500
0.842 0.842 0.000
0.359 0.359 0.000
0.641 0.641 0.000
0.000 0.000 0.000